1.
{
  "formula": "ZrAs2Pb",
  "functional": "GGA-PBE",
  "state": "relaxed",
  "cell": [[3.997, 0.000, 0.000], [0.000, 5.335, 0.000], [0.000, 0.000, 8.336]],
  "species": ["Zr", "Zr", "As", "As", "As", "As", "Pb", "Pb"],
  "fractional_positions": [[0.000, 0.000, 0.000], [0.500, 0.500, 0.500], [0.000, 0.500, 0.254], [0.000, 0.500, 0.746], [0.500, 0.000, 0.246], [0.500, 0.000, 0.754], [0.000, 0.000, 0.500], [0.500, 0.500, 0.000]]
}

***

2.
{
  "formula": "PdPbAu",
  "functional": "GGA-PBE",
  "state": "relaxed",
  "polymorph_energy_mev_per_atom": 383,
  "cell": [[3.147, 0.000, 0.000], [0.000, 3.147, 0.000], [0.000, 0.000, 14.381]],
  "species": ["Pd", "Pd", "Pb", "Pb", "Au", "Au"],
  "fractional_positions": [[0.000, 0.000, 0.000], [0.500, 0.500, 0.500], [0.000, 0.000, 0.378], [0.500, 0.500, 0.878], [0.000, 0.000, 0.185], [0.500, 0.500, 0.685]]
}

***

Values of energy, in order: -5.5058, -3.8392, all in eV/atom.